1.
VASP calculation (PBE-GGA) on crystalline Al2IrW at its relaxed geometry.

The structure in POSCAR format:
```
Al2IrW
1.0
-2.7722 0.4688 -0.3630
0.1817 -0.9780 -2.6546
-1.4638 -6.7949 2.4032
Ir Al W
1 2 1
direct
0.5000 0.5000 0.2500
0.0000 0.0000 0.4736
0.0000 0.0000 0.0264
0.5000 0.5000 0.7500
```

magnetic moment = 0.0 μB/cell
energy = -30.84 eV for the cell shown
E above lowest polymorph = 0.0 meV per atom
energy of formation = -37.1 kJ per mole of atoms

2.
VASP calculation (PBE-GGA) on crystalline Li3ThSn3 at its relaxed geometry.

The structure in POSCAR format:
```
Li3ThSn3
1.0
6.9873 0.0000 0.0000
0.0000 6.9873 0.0000
0.0000 0.0000 6.9873
Li Sn Th
6 6 2
direct
0.2500 0.0000 0.5000
0.0000 0.5000 0.2500
0.0000 0.5000 0.7500
0.7500 0.0000 0.5000
0.5000 0.2500 0.0000
0.5000 0.7500 0.0000
0.5000 0.0000 0.2500
0.0000 0.2500 0.5000
0.0000 0.7500 0.5000
0.7500 0.5000 0.0000
0.5000 0.0000 0.7500
0.2500 0.5000 0.0000
0.0000 0.0000 0.0000
0.5000 0.5000 0.5000
```

magnetic moment = 0.0 μB/cell
energy = -47.57 eV for the cell shown
energy of formation = 19.1 kJ per mole of atoms

3.
VASP calculation (PBE-GGA) on crystalline LaBeSe2 at its relaxed geometry.

The structure in POSCAR format:
```
LaBeSe2
1.0
4.5081 0.0017 -0.0004
2.2852 3.8860 -0.0004
0.0893 0.0511 6.1019
Be La Se
1 1 2
direct
0.2500 0.2500 0.2500
0.7500 0.7500 0.7500
0.4282 0.4282 0.4888
0.0718 0.0718 0.0112
```

magnetic moment = 0.0 μB/cell
energy = -19.64 eV for the cell shown